(P)
VASP calculation (PBE-GGA) on a relaxed structure of CuReP2O.

a = 4.5782 Å, b = 4.5782 Å, c = 3.3795 Å
α = 90.00°, β = 90.00°, γ = 90.00°
Positions (direct):
Cu 0.0000 0.0000 0.0000
Re 0.5000 0.5000 0.5000
P 0.0000 0.5000 0.0000
P 0.5000 0.0000 0.0000
O 0.0000 0.0000 0.5000

=====

(Q)
VASP calculation (PBE-GGA) on a relaxed structure of CuReP2O.

a = 4.7421 Å, b = 4.7421 Å, c = 3.6985 Å
α = 90.00°, β = 90.00°, γ = 90.00°
Positions (direct):
Cu 0.0000 0.0000 0.0000
Re 0.5000 0.5000 0.5000
P 0.0000 0.5000 0.5000
P 0.5000 0.0000 0.5000
O 0.5000 0.5000 0.0000

=====

(R)
VASP calculation (PBE-GGA) on a relaxed structure of CuReP2O.

a = 4.1790 Å, b = 4.1790 Å, c = 4.9829 Å
α = 90.00°, β = 90.00°, γ = 90.00°
Positions (direct):
Cu 0.0000 0.0000 0.0000
Re 0.0000 0.0000 0.5000
P 0.0000 0.5000 0.0000
P 0.5000 0.0000 0.0000
O 0.5000 0.5000 0.5000

=====

It is (R) that is the least stable of them.

=====

(P)
VASP calculation (PBE-GGA) on a relaxed structure of CuPRuO2.

a = 3.5258 Å, b = 3.5258 Å, c = 5.4874 Å
α = 90.00°, β = 90.00°, γ = 90.00°
Positions (direct):
Cu 0.0000 0.0000 0.0000
P 0.0000 0.0000 0.5000
Ru 0.5000 0.5000 0.5000
O 0.0000 0.5000 0.0000
O 0.5000 0.0000 0.0000

=====

(Q)
VASP calculation (PBE-GGA) on a relaxed structure of CuPRuO2.

a = 3.6826 Å, b = 3.6826 Å, c = 5.2804 Å
α = 90.00°, β = 90.00°, γ = 90.00°
Positions (direct):
Cu 0.0000 0.0000 0.0000
P 0.5000 0.5000 0.0000
Ru 0.5000 0.5000 0.5000
O 0.0000 0.5000 0.5000
O 0.5000 0.0000 0.5000

=====

It is (P) that is the least stable of them.